# Sm6ZnTe5, relaxed, DFT GGA-PBE
# M_tot: 0.0 Bohr magnetons per cell
# E_form (uncorrected): -1.233 eV/atom
data_Sm6ZnTe5
_cell_length_a 7.682
_cell_length_b 13.260
_cell_length_c 7.650
_cell_angle_alpha 90.00
_cell_angle_beta 109.47
_cell_angle_gamma 90.00
_space_group_name_H-M_alt 'C 1 2/m 1'
_space_group_IT_number 12
_space_group_name_Hall '-C 2y'
loop_
_atom_site_label
_atom_site_type_symbol
_atom_site_fract_x
_atom_site_fract_y
_atom_site_fract_z
Sm1 Sm 0.232 0.000 0.258
Sm2 Sm 0.235 0.157 0.735
Zn1 Zn 0.000 0.000 0.500
Te1 Te 0.000 0.175 0.000
Te2 Te 0.000 0.336 0.500
Te3 Te 0.000 0.500 0.000